No. 1
NaAlGePb2 GGA-PBE optimized geometry; uncorrected energy = -2.632 eV/atom; space-group type = P4/mmm, No. 123; calculated formation energy = 787 meV/atom; crystal system = tetragonal
1.0
-1.215 -5.012 1.968
3.333 -2.081 -3.243
3.994 0.514 3.775
Na Pb Al Ge
1 2 1 1
Cartesian
0.000 0.000 0.000
1.997 0.257 1.888
-0.608 -2.506 0.984
3.056 -3.290 1.250
1.666 -1.041 -1.621


No. 2
Ac7Cd2Rh2 GGA-PBE optimized geometry; uncorrected energy = -4.426 eV/atom; space-group type = Cmmm, No. 65; calculated formation energy = -309 meV/atom; crystal system = orthorhombic
1.0
-1.967 4.810 5.380
1.943 -5.184 5.346
7.216 0.896 -1.754
Ac Rh Cd
7 2 2
Cartesian
6.724 1.987 2.290
0.467 -1.466 6.681
4.092 -1.062 5.849
4.100 -0.865 0.477
3.100 1.584 3.122
0.000 0.000 0.000
3.092 1.387 8.494
4.503 2.052 0.353
2.688 -1.531 8.618
1.845 -1.643 3.276
5.347 2.164 5.695


No. 3
NaZnGa2Cl8 GGA-PBE optimized geometry; uncorrected energy = -3.029 eV/atom; space-group type = P-3, No. 147; crystal system = trigonal
1.0
-5.820 -3.448 2.652
6.225 -3.614 -0.993
2.207 1.821 7.211
Cl Zn Ga Na
8 1 2 1
Cartesian
-0.266 -1.205 2.768
2.419 -3.387 0.905
0.193 -1.855 7.966
2.662 -0.458 5.265
2.878 -4.036 6.102
-3.209 -2.963 4.113
-0.050 -4.784 3.606
5.821 -2.279 4.758
1.104 0.911 3.605
4.009 -2.075 6.099
-1.397 -3.167 2.771
0.000 0.000 0.000


No. 4
MgSnN2O GGA-PBE optimized geometry; uncorrected energy = -5.031 eV/atom; space-group type = P4/mmm, No. 123; crystal system = tetragonal
1.0
4.143 0.000 0.000
0.000 4.143 0.000
0.000 0.000 4.096
N Mg Sn O
2 1 1 1
Cartesian
2.071 0.000 0.000
0.000 2.071 0.000
2.071 2.071 2.048
0.000 0.000 0.000
0.000 0.000 2.048


No. 5
AcHo2Bi GGA-PBE optimized geometry; uncorrected energy = -4.584 eV/atom; space-group type = P4/mmm, No. 123; calculated formation energy = -298 meV/atom; crystal system = tetragonal; distance to the lowest polymorph of the same formula = 2.1 kJ/mol of atoms
1.0
-3.312 -3.553 1.250
3.131 -3.542 -1.772
2.138 -0.390 4.557
Bi Ho Ac
1 2 1
Cartesian
-1.656 -1.776 0.625
1.069 -0.195 2.278
1.565 -1.771 -0.886
0.978 -3.742 2.017


No. 6
Nd4SiSe2S GGA-PBE optimized geometry; uncorrected energy = -6.107 eV/atom; space-group type = P2/m, No. 10; crystal system = monoclinic
1.0
-3.523 1.507 -1.719
-2.169 -6.873 -1.579
-3.838 -2.637 5.553
Nd S Si Se
4 1 1 2
Cartesian
-4.481 -7.026 3.024
-5.049 -0.978 -0.769
-5.189 -3.022 2.856
-4.341 -4.982 -0.601
-2.846 -2.683 -1.649
-3.004 -4.755 1.987
-3.838 -2.637 5.553
-3.680 -0.565 1.917